Record 1
# GGA-PBE Pr2NdSi4Ag2Pd2, relaxed
# Final energy in eV per atom: -5.44
# Total magnetization in μB/cell: 0.03
data_Pr2NdSi4Ag2Pd2
_chemical_formula_sum 'Pr2 Nd1 Si4 Ag2 Pd2'
_cell_length_a 13.0041
_cell_length_b 13.0041
_cell_length_c 13.0041
_cell_angle_alpha 161.27
_cell_angle_beta 161.22
_cell_angle_gamma 26.64
_space_group_name_H-M_alt 'P 1'
_space_group_IT_number 1
_space_group_name_Hall 'P 1'
loop_
_atom_site_label
_atom_site_type_symbol
_atom_site_fract_x
_atom_site_fract_y
_atom_site_fract_z
Ag1 Ag 0.2495 0.2495 0.0000
Ag2 Ag 0.7505 0.7505 0.0000
Nd1 Nd 0.0000 0.0000 0.0000
Pd1 Pd 0.9069 0.4069 0.5000
Pd2 Pd 0.0931 0.5931 0.5000
Pr1 Pr 0.6454 0.1454 0.5000
Pr2 Pr 0.3546 0.8546 0.5000
Si1 Si 0.4527 0.4527 0.0000
Si2 Si 0.5473 0.5473 0.0000
Si3 Si 0.8119 0.3119 0.5000
Si4 Si 0.1881 0.6881 0.5000

Record 2
# GGA-PBE PrNd2Si4Ag2Pd2, relaxed
# Final energy in eV per atom: -5.43
# Total magnetization in μB/cell: 0.02
data_PrNd2Si4Ag2Pd2
_chemical_formula_sum 'Pr1 Nd2 Si4 Ag2 Pd2'
_cell_length_a 12.7489
_cell_length_b 12.7489
_cell_length_c 12.7489
_cell_angle_alpha 160.91
_cell_angle_beta 160.57
_cell_angle_gamma 27.37
_space_group_name_H-M_alt 'P 1'
_space_group_IT_number 1
_space_group_name_Hall 'P 1'
loop_
_atom_site_label
_atom_site_type_symbol
_atom_site_fract_x
_atom_site_fract_y
_atom_site_fract_z
Ag1 Ag 0.9018 0.4018 0.5000
Ag2 Ag 0.0982 0.5982 0.5000
Nd1 Nd 0.6499 0.1499 0.5000
Nd2 Nd 0.3501 0.8501 0.5000
Pd1 Pd 0.2496 0.2496 0.0000
Pd2 Pd 0.7504 0.7504 0.0000
Pr1 Pr 0.0000 0.0000 0.0000
Si1 Si 0.4522 0.4522 0.0000
Si2 Si 0.5478 0.5478 0.0000
Si3 Si 0.8009 0.3009 0.5000
Si4 Si 0.1991 0.6991 0.5000

Record 3
# GGA-PBE PrNd2Tl3AgPd2, relaxed
# Final energy in eV per atom: -4.39
# Total magnetization in μB/cell: 0.01
data_PrNd2Tl3AgPd2
_chemical_formula_sum 'Pr1 Nd2 Tl3 Ag1 Pd2'
_cell_length_a 4.0178
_cell_length_b 7.9778
_cell_length_c 7.9778
_cell_angle_alpha 120.03
_cell_angle_beta 90.00
_cell_angle_gamma 90.00
_space_group_name_H-M_alt 'P 1'
_space_group_IT_number 1
_space_group_name_Hall 'P 1'
loop_
_atom_site_label
_atom_site_type_symbol
_atom_site_fract_x
_atom_site_fract_y
_atom_site_fract_z
Ag1 Ag 0.5000 0.0003 0.0003
Nd1 Nd 0.5000 0.4125 0.0000
Nd2 Nd 0.5000 0.0000 0.4125
Pd1 Pd 0.0000 0.6670 0.3325
Pd2 Pd 0.0000 0.3325 0.6670
Pr1 Pr 0.5000 0.5876 0.5876
Tl1 Tl 0.0000 0.7347 0.0007
Tl2 Tl 0.0000 0.2648 0.2648
Tl3 Tl 0.0000 0.0007 0.7347

Record 4
# GGA-PBE NdSi2AgPd, relaxed
# Final energy in eV per atom: -5.41
# Total magnetization in μB/cell: 0.01
data_NdSi2AgPd
_chemical_formula_sum 'Nd1 Si2 Ag1 Pd1'
_cell_length_a 5.9323
_cell_length_b 5.9323
_cell_length_c 5.9323
_cell_angle_alpha 138.25
_cell_angle_beta 138.25
_cell_angle_gamma 60.52
_space_group_name_H-M_alt 'P 1'
_space_group_IT_number 1
_space_group_name_Hall 'P 1'
loop_
_atom_site_label
_atom_site_type_symbol
_atom_site_fract_x
_atom_site_fract_y
_atom_site_fract_z
Ag1 Ag 0.2500 0.7500 0.5000
Nd1 Nd 0.0000 0.0000 0.0000
Pd1 Pd 0.7500 0.2500 0.5000
Si1 Si 0.3863 0.3863 0.0000
Si2 Si 0.6137 0.6137 0.0000

Record 5
# GGA-PBE PmNdAg, relaxed
# Final energy in eV per atom: -3.63
# Total magnetization in μB/cell: 0.00
# ΔE_f in kJ/mol of formula units: 138
data_PmNdAg
_chemical_formula_sum 'Pm1 Nd1 Ag1'
_cell_length_a 5.0189
_cell_length_b 5.0189
_cell_length_c 5.0189
_cell_angle_alpha 60.00
_cell_angle_beta 60.00
_cell_angle_gamma 60.00
_space_group_name_H-M_alt 'P 1'
_space_group_IT_number 1
_space_group_name_Hall 'P 1'
loop_
_atom_site_label
_atom_site_type_symbol
_atom_site_fract_x
_atom_site_fract_y
_atom_site_fract_z
Ag1 Ag 0.2500 0.2500 0.2500
Nd1 Nd 0.0000 0.0000 0.0000
Pm1 Pm 0.7500 0.7500 0.7500

Record 6
# GGA-PBE PrNdAg, relaxed
# Final energy in eV per atom: -3.68
# Total magnetization in μB/cell: 0.00
# ΔE_f in kJ/mol of formula units: 129
data_PrNdAg
_chemical_formula_sum 'Pr1 Nd1 Ag1'
_cell_length_a 5.0496
_cell_length_b 5.0496
_cell_length_c 5.0496
_cell_angle_alpha 60.00
_cell_angle_beta 60.00
_cell_angle_gamma 60.00
_space_group_name_H-M_alt 'P 1'
_space_group_IT_number 1
_space_group_name_Hall 'P 1'
loop_
_atom_site_label
_atom_site_type_symbol
_atom_site_fract_x
_atom_site_fract_y
_atom_site_fract_z
Ag1 Ag 0.2500 0.2500 0.2500
Nd1 Nd 0.0000 0.0000 0.0000
Pr1 Pr 0.7500 0.7500 0.7500

Record 7
# GGA-PBE Pr2NdTl3AgPt2, relaxed
# Final energy in eV per atom: -4.69
# Total magnetization in μB/cell: 0.00
data_Pr2NdTl3AgPt2
_chemical_formula_sum 'Pr2 Nd1 Tl3 Ag1 Pt2'
_cell_length_a 4.0117
_cell_length_b 7.9999
_cell_length_c 7.9999
_cell_angle_alpha 119.95
_cell_angle_beta 90.00
_cell_angle_gamma 90.00
_space_group_name_H-M_alt 'P 1'
_space_group_IT_number 1
_space_group_name_Hall 'P 1'
loop_
_atom_site_label
_atom_site_type_symbol
_atom_site_fract_x
_atom_site_fract_y
_atom_site_fract_z
Ag1 Ag 0.0000 0.0005 0.0005
Nd1 Nd 0.0000 0.4153 0.4153
Pr1 Pr 0.0000 0.9999 0.5849
Pr2 Pr 0.0000 0.5849 0.9999
Pt1 Pt 0.5000 0.6656 0.3338
Pt2 Pt 0.5000 0.3338 0.6656
Tl1 Tl 0.5000 0.2625 0.0005
Tl2 Tl 0.5000 0.0005 0.2625
Tl3 Tl 0.5000 0.7372 0.7372

Record 8
# GGA-PBE PrNd2Tl3AgPt2, relaxed
# Final energy in eV per atom: -4.69
# Total magnetization in μB/cell: 0.01
data_PrNd2Tl3AgPt2
_chemical_formula_sum 'Pr1 Nd2 Tl3 Ag1 Pt2'
_cell_length_a 3.9958
_cell_length_b 7.9998
_cell_length_c 7.9998
_cell_angle_alpha 120.05
_cell_angle_beta 90.00
_cell_angle_gamma 90.00
_space_group_name_H-M_alt 'P 1'
_space_group_IT_number 1
_space_group_name_Hall 'P 1'
loop_
_atom_site_label
_atom_site_type_symbol
_atom_site_fract_x
_atom_site_fract_y
_atom_site_fract_z
Ag1 Ag 0.0000 0.9995 0.9995
Nd1 Nd 0.0000 0.5851 0.0001
Nd2 Nd 0.0000 0.0001 0.5851
Pr1 Pr 0.0000 0.4148 0.4148
Pt1 Pt 0.5000 0.6677 0.3329
Pt2 Pt 0.5000 0.3329 0.6677
Tl1 Tl 0.5000 0.9995 0.2630
Tl2 Tl 0.5000 0.7374 0.7374
Tl3 Tl 0.5000 0.2630 0.9995

Record 9
# GGA-PBE PrNdSi4Ag2, relaxed
# Final energy in eV per atom: -5.13
# Total magnetization in μB/cell: 0.01
data_PrNdSi4Ag2
_chemical_formula_sum 'Pr1 Nd1 Si4 Ag2'
_cell_length_a 4.2404
_cell_length_b 9.0513
_cell_length_c 9.0513
_cell_angle_alpha 27.10
_cell_angle_beta 90.00
_cell_angle_gamma 90.00
_space_group_name_H-M_alt 'P 1'
_space_group_IT_number 1
_space_group_name_Hall 'P 1'
loop_
_atom_site_label
_atom_site_type_symbol
_atom_site_fract_x
_atom_site_fract_y
_atom_site_fract_z
Ag1 Ag 0.5000 0.2490 0.2490
Ag2 Ag 0.0000 0.7521 0.7521
Nd1 Nd 0.5000 0.9031 0.9031
Pr1 Pr 0.0000 0.0969 0.0969
Si1 Si 0.0000 0.3357 0.3357
Si2 Si 0.0000 0.4673 0.4673
Si3 Si 0.5000 0.5317 0.5317
Si4 Si 0.5000 0.6642 0.6642

Record 10
# GGA-PBE Pr2NdAg4Sn4, relaxed
# Final energy in eV per atom: -4.35
# Total magnetization in μB/cell: 0.01
data_Pr2NdAg4Sn4
_chemical_formula_sum 'Pr2 Nd1 Ag4 Sn4'
_cell_length_a 8.9521
_cell_length_b 8.9521
_cell_length_c 8.9521
_cell_angle_alpha 149.66
_cell_angle_beta 131.01
_cell_angle_gamma 58.72
_space_group_name_H-M_alt 'P 1'
_space_group_IT_number 1
_space_group_name_Hall 'P 1'
loop_
_atom_site_label
_atom_site_type_symbol
_atom_site_fract_x
_atom_site_fract_y
_atom_site_fract_z
Ag1 Ag 0.6344 0.3298 0.3046
Ag2 Ag 0.9748 0.6702 0.3046
Ag3 Ag 0.0252 0.3298 0.6954
Ag4 Ag 0.3656 0.6702 0.6954
Nd1 Nd 0.0000 0.0000 0.0000
Pr1 Pr 0.6289 0.1289 0.5000
Pr2 Pr 0.3711 0.8711 0.5000
Sn1 Sn 0.2153 0.2153 0.0000
Sn2 Sn 0.7847 0.7847 0.0000
Sn3 Sn 0.6948 0.5000 0.1948
Sn4 Sn 0.3052 0.5000 0.8052